1) Compound: MnGa2Pt2
Source: Alexandria
Functional: PBE
Structure: optimized geometry

a b c (Å): 4.1044 4.2394 9.5968
angles (deg): 90.00 90.00 90.00
With the nearest neighbours (Å) after each atom.
Space group Pmmn (No. 59, origin choice 2)
Asymmetric unit:
1 Mn 0.2500 0.2500 0.1830 (multiplicity 2)  6 Pt 2.61-2.78
2 Ga 0.2500 0.2500 0.4918 (multiplicity 2)  4 Pt 2.56-2.60
3 Ga 0.2500 0.2500 0.8220 (multiplicity 2)  6 Pt 2.59-2.70
4 Pt 0.2500 0.7500 0.3418 (multiplicity 2)  6 Ga 2.56-2.60, 2 Mn 2.61
5 Pt 0.2500 0.7500 0.9960 (multiplicity 2)  4 Mn 2.68-2.78, 4 Ga 2.69-2.70, 4 Pt 2.95

* DOS(E_F): 2.41 states/eV/f.u.


2) Compound: MnGa2Pt2
Source: Alexandria
Functional: PBE
Structure: optimized geometry

a b c (Å): 7.4432 7.4432 2.8540
angles (deg): 90.00 90.00 90.00
With the nearest neighbours (Å) after each atom.
Space group P4/mbm (No. 127)
Asymmetric unit:
1 Mn 0.0000 0.0000 0.0000 (multiplicity 2)  2 Mn 2.85, 4 Pt 2.85, 8 Ga 3.16
2 Ga 0.1545 0.3455 0.5000 (multiplicity 4)  6 Pt 2.55-2.65
3 Pt 0.1450 0.6450 0.0000 (multiplicity 4)  6 Ga 2.55-2.65

* DOS(E_F): 1.83 states/eV/f.u.


From most stable to least stable, the computed energies give 1), 2).


1) Compound: RbMnGa3
Source: Alexandria
Functional: PBE
Structure: optimized geometry

a b c (Å): 5.5390 5.5390 5.5390
angles (deg): 90.00 90.00 90.00
With the nearest neighbours (Å) after each atom.
Space group Pm-3m (No. 221)
Asymmetric unit:
1 Rb 0.0000 0.0000 0.0000 (multiplicity 1)  6 Ga 2.77
2 Mn 0.5000 0.5000 0.5000 (multiplicity 1)  12 Ga 3.92
3 Ga 0.0000 0.0000 0.5000 (multiplicity 3)  2 Rb 2.77

* DOS(E_F): 5.89 states/eV/f.u.


2) Compound: RbMnGa3
Source: Alexandria
Functional: PBE
Structure: optimized geometry

a b c (Å): 4.8795 4.8795 4.8795
angles (deg): 90.00 90.00 90.00
With the nearest neighbours (Å) after each atom.
Space group Pm-3m (No. 221)
Asymmetric unit:
1 Rb 0.0000 0.0000 0.0000 (multiplicity 1)  12 Ga 3.45
2 Mn 0.5000 0.5000 0.5000 (multiplicity 1)  6 Ga 2.44
3 Ga 0.0000 0.5000 0.5000 (multiplicity 3)  2 Mn 2.44

* DOS(E_F): 1.45 states/eV/f.u.


From most stable to least stable, the computed energies give 2), 1).


1) Compound: RbTiMnGa2
Source: Alexandria
Functional: PBE
Structure: optimized geometry

a b c (Å): 4.9412 4.9412 4.4921
angles (deg): 90.00 90.00 90.00
With the nearest neighbours (Å) after each atom.
Space group P4/mmm (No. 123)
Asymmetric unit:
1 Rb 0.0000 0.0000 0.0000 (multiplicity 1)  8 Ga 3.34, 4 Ti 3.49
2 Ti 0.5000 0.5000 0.0000 (multiplicity 1)  2 Mn 2.25
3 Mn 0.5000 0.5000 0.5000 (multiplicity 1)  2 Ti 2.25, 4 Ga 2.47
4 Ga 0.0000 0.5000 0.5000 (multiplicity 2)  2 Mn 2.47

* DOS(E_F): 2.32 states/eV/f.u.


2) Compound: RbTiMnGa2
Source: Alexandria
Functional: PBE
Structure: optimized geometry

a b c (Å): 5.0513 5.0513 5.4230
angles (deg): 90.00 90.00 90.00
With the nearest neighbours (Å) after each atom.
Space group P4/mmm (No. 123)
Asymmetric unit:
1 Rb 0.0000 0.0000 0.0000 (multiplicity 1)  2 Ti 2.71
2 Ti 0.0000 0.0000 0.5000 (multiplicity 1)  4 Ga 2.53, 2 Rb 2.71
3 Mn 0.5000 0.5000 0.0000 (multiplicity 1)  4 Rb 3.57, 8 Ga 3.71
4 Ga 0.0000 0.5000 0.5000 (multiplicity 2)  2 Ti 2.53

* DOS(E_F): 5.05 states/eV/f.u.


From most stable to least stable, the computed energies give 1), 2).


1) Compound: Mn3GaRe
Source: Alexandria
Functional: PBE
Structure: optimized geometry

a b c (Å): 4.6287 4.6287 4.6287
angles (deg): 90.00 90.00 90.00
With the nearest neighbours (Å) after each atom.
Space group Pm-3m (No. 221)
Asymmetric unit:
1 Mn 0.0000 0.0000 0.5000 (multiplicity 3)  2 Re 2.31
2 Ga 0.5000 0.5000 0.5000 (multiplicity 1)  12 Mn 3.27
3 Re 0.0000 0.0000 0.0000 (multiplicity 1)  6 Mn 2.31

* DOS(E_F): 9.11 states/eV/f.u.


2) Compound: Mn3GaRe
Source: Alexandria
Functional: PBE
Structure: optimized geometry

a b c (Å): 4.1786 4.1786 4.1786
angles (deg): 90.00 90.00 90.00
With the nearest neighbours (Å) after each atom.
Space group Pm-3m (No. 221)
Asymmetric unit:
1 Mn 0.0000 0.0000 0.5000 (multiplicity 3)  2 Ga 2.09
2 Ga 0.0000 0.0000 0.0000 (multiplicity 1)  6 Mn 2.09
3 Re 0.5000 0.5000 0.5000 (multiplicity 1)  12 Mn 2.95

* DOS(E_F): 5.57 states/eV/f.u.


From most stable to least stable, the computed energies give 1), 2).